Here is a geometry-optimized Li2DyIO6 structure from the Alexandria database. Energies are from PBE.

## Properties
Energy relative to the elements, uncorrected   -1.749 eV/atom
Total magnetization   0.00 μB per atom

Geometry as CIF:
```
data_Li2DyIO6
_chemical_formula_sum 'Li6 Dy3 I3 O18'
_cell_length_a 5.2117
_cell_length_b 5.2117
_cell_length_c 15.2544
_cell_angle_alpha 90.00
_cell_angle_beta 90.00
_cell_angle_gamma 120.00
_space_group_name_H-M_alt 'R -3'
_space_group_IT_number 148
_space_group_name_Hall '-R 3'
loop_
_atom_site_label
_atom_site_type_symbol
_atom_site_fract_x
_atom_site_fract_y
_atom_site_fract_z
Li1 Li 0.0000 0.0000 0.1993
Dy1 Dy 0.0000 0.0000 0.0000
I1 I 0.0000 0.0000 0.5000
O1 O 0.0212 0.6421 0.2372
```

Here is a geometry-optimized KAgPPd structure from the Alexandria database. Energies are from PBE.

## Properties
E_form   -0.234 eV/atom
Total magnetization   0.00 μB per atom

Geometry as CIF:
```
data_KAgPPd
_chemical_formula_sum 'K2 Ag2 P2 Pd2'
_cell_length_a 4.132
_cell_length_b 4.132
_cell_length_c 11.797
_cell_angle_alpha 90.00
_cell_angle_beta 90.00
_cell_angle_gamma 90.00
_space_group_name_H-M_alt 'P 4/n m m'
_space_group_IT_number 129
loop_
_space_group_symop_operation_xyz
'x,y,z'
'-x,-y,-z'
'-y+1/2,x,z'
'y+1/2,-x,-z'
'-x+1/2,-y+1/2,z'
'x+1/2,y+1/2,-z'
'y,-x+1/2,z'
'-y,x+1/2,-z'
'x+1/2,-y,-z'
'-x+1/2,y,z'
'-y,-x,-z'
'y,x,z'
'-x,y+1/2,-z'
'x,-y+1/2,z'
'y+1/2,x+1/2,-z'
'-y+1/2,-x+1/2,z'
loop_
_atom_site_label
_atom_site_type_symbol
_atom_site_fract_x
_atom_site_fract_y
_atom_site_fract_z
K1 K 0.250 0.250 0.247
Ag1 Ag 0.250 0.750 0.000
P1 P 0.250 0.250 0.602
Pd1 Pd 0.250 0.750 0.500
```

Here is a geometry-optimized Pr5Pt2Au2 structure from the Alexandria database. Energies are from PBE.

## Properties
E_form   -0.834 eV/atom
Total magnetization   0.00 μB per atom

Geometry as CIF:
```
data_Pr5Pt2Au2
_chemical_formula_sum 'Pr20 Pt8 Au8'
_cell_length_a 15.893
_cell_length_b 7.712
_cell_length_c 8.062
_cell_angle_alpha 90.00
_cell_angle_beta 90.00
_cell_angle_gamma 90.00
_space_group_name_H-M_alt 'C m c e'
_space_group_IT_number 64
_space_group_name_Hall '-C 2ac 2'
loop_
_atom_site_label
_atom_site_type_symbol
_atom_site_fract_x
_atom_site_fract_y
_atom_site_fract_z
Pr1 Pr 0.000 0.000 0.000
Pr2 Pr 0.132 0.168 0.329
Pt1 Pt 0.000 0.130 0.630
Au1 Au 0.207 0.000 0.000
```

Here is a geometry-optimized Pm3Nd3Y8 structure from the Alexandria database. Energies are from PBE.

## Properties
E above lowest polymorph   0.000 eV per atom
E_form   0.111 eV/atom
Total magnetization   0.00 μB per atom

Geometry as CIF:
```
data_Pm3Nd3Y8
_chemical_formula_sum 'Pm6 Nd6 Y16'
_cell_length_a 5.741
_cell_length_b 10.810
_cell_length_c 15.353
_cell_angle_alpha 90.00
_cell_angle_beta 90.00
_cell_angle_gamma 90.00
_space_group_name_H-M_alt 'I m m m'
_space_group_IT_number 71
_space_group_name_Hall '-I 2 2'
loop_
_atom_site_label
_atom_site_type_symbol
_atom_site_fract_x
_atom_site_fract_y
_atom_site_fract_z
Pm1 Pm 0.000 0.000 0.000
Pm2 Pm 0.000 0.302 0.000
Nd1 Nd 0.000 0.000 0.500
Nd2 Nd 0.000 0.500 0.185
Y1 Y 0.000 0.161 0.220
Y2 Y 0.000 0.340 0.398
```